No. 1
The following is a DFT calculation (PBE-GGA) of an optimized crystal structure of HgPtW4.

Cell and atoms, written as POSCAR:
```
HgPtW4
1.0
0.0000 3.7530 3.7530
3.7530 0.0000 3.7530
3.7530 3.7530 0.0000
W Hg Pt
4 1 1
Direct
0.3759 0.8724 0.3759 W
0.3759 0.3759 0.3759 W
0.3759 0.3759 0.8724 W
0.8724 0.3759 0.3759 W
0.7500 0.7500 0.7500 Hg
0.0000 0.0000 0.0000 Pt
```

Output
The formation energy comes out at 650 meV/atom.


No. 2
The following is a DFT calculation (PBE-GGA) of an optimized crystal structure of Cs2AgBBr6.

Cell and atoms, written as POSCAR:
```
Cs2AgBBr6
1.0
7.6328 0.0000 0.0000
0.0000 7.6328 0.0000
3.8164 3.8164 5.9453
B Cs Br Ag
1 2 6 1
Direct
0.5000 0.5000 0.0000 B
0.7500 0.2500 0.5000 Cs
0.2500 0.7500 0.5000 Cs
0.7022 0.7022 0.0000 Br
0.7879 0.7879 0.4242 Br
0.2121 0.2121 0.5758 Br
0.2978 0.7022 0.0000 Br
0.7022 0.2978 0.0000 Br
0.2978 0.2978 0.0000 Br
0.0000 0.0000 0.0000 Ag
```

Output
For the formation energy (no corrections), the calculation gives -0.733 eV per atom.


No. 3
The following is a DFT calculation (PBE-GGA) of an optimized crystal structure of RbU4Cr3S12.

Cell and atoms, written as POSCAR:
```
RbU4Cr3S12
1.0
8.5209 0.0000 0.0000
-2.8403 8.0336 0.0000
-2.8403 -4.0168 6.9573
S U Cr Rb
12 4 3 1
Direct
0.4894 0.3208 0.1686 S
0.5106 0.6792 0.8314 S
0.8314 0.5106 0.6792 S
0.3208 0.8314 0.1522 S
0.1686 0.8478 0.6792 S
0.1522 0.3208 0.8314 S
0.8478 0.6792 0.1686 S
0.1686 0.4894 0.3208 S
0.3208 0.1686 0.4894 S
0.6792 0.1686 0.8478 S
0.8314 0.1522 0.3208 S
0.6792 0.8314 0.5106 S
0.0000 0.5000 0.0000 U
0.5000 0.5000 0.5000 U
0.5000 0.0000 0.0000 U
0.0000 0.0000 0.5000 U
0.0000 0.5000 0.5000 Cr
0.5000 0.0000 0.5000 Cr
0.5000 0.5000 0.0000 Cr
0.0000 0.0000 0.0000 Rb
```

Output
For the formation energy (no corrections), the calculation gives -1.005 eV per atom.


No. 4
The following is a DFT calculation (PBE-GGA) of an optimized crystal structure of AlZnP2.

Cell and atoms, written as POSCAR:
```
AlZnP2
1.0
-1.1765 4.9535 -2.1487
-4.7350 0.1104 2.8470
-0.4146 4.9284 4.4826
Zn P Al
2 4 2
Direct
0.0000 0.0000 0.0000 Zn
0.7500 0.2500 0.5000 Zn
0.3750 0.3748 0.7500 P
0.6252 0.1250 0.2500 P
0.8750 0.8752 0.7500 P
0.1248 0.6250 0.2500 P
0.2500 0.7500 0.5000 Al
0.5000 0.5000 0.0000 Al
```

Output
The formation energy comes out at -224 meV/atom.


No. 5
The following is a DFT calculation (PBE-GGA) of an optimized crystal structure of SrTcAg.

Cell and atoms, written as POSCAR:
```
SrTcAg
1.0
-0.3349 5.3223 4.8560
-2.9681 -1.6364 1.5889
6.9294 -9.0701 3.6025
Sr Ag Tc
4 4 4
Direct
0.5000 0.0000 0.0000 Sr
0.0000 0.0000 0.0000 Sr
0.0000 0.5000 0.5000 Sr
0.5000 0.5000 0.5000 Sr
0.1600 0.0000 0.2929 Ag
0.1600 0.5000 0.7929 Ag
0.8400 0.0000 0.7071 Ag
0.8400 0.5000 0.2071 Ag
0.5987 0.0000 0.2875 Tc
0.4013 0.0000 0.7125 Tc
0.5987 0.5000 0.7875 Tc
0.4013 0.5000 0.2125 Tc
```

Output
The formation energy comes out at 293 meV/atom.


No. 6
The following is a DFT calculation (PBE-GGA) of an optimized crystal structure of Cu2O3.

Cell and atoms, written as POSCAR:
```
Cu2O3
1.0
5.0652 0.0000 0.0000
2.5326 4.3866 0.0000
2.5326 1.4622 4.6738
O Cu
6 4
Direct
0.6052 0.8928 0.2216 O
0.2805 0.6052 0.2216 O
0.8928 0.2805 0.2216 O
0.7195 0.3948 0.7784 O
0.1072 0.7195 0.7784 O
0.3948 0.1072 0.7784 O
0.6855 0.6855 0.9436 Cu
0.5000 0.5000 0.5000 Cu
0.0000 0.0000 0.0000 Cu
0.3145 0.3145 0.0564 Cu
```

Output
For the formation energy (no corrections), the calculation gives -0.316 eV per atom.


No. 7
The following is a DFT calculation (PBE-GGA) of an optimized crystal structure of BaCd2In.

Cell and atoms, written as POSCAR:
```
BaCd2In
1.0
-2.7483 -1.0199 2.6216
2.5493 -2.4530 1.7181
2.4123 5.8809 4.8169
Cd Ba In
2 1 1
Direct
0.0000 0.0000 0.0436 Cd
0.0000 0.0000 0.4564 Cd
0.5000 0.5000 0.7500 Ba
0.5000 0.5000 0.2500 In
```

Output
The formation energy comes out at -188 meV/atom.


No. 8
The following is a DFT calculation (PBE-GGA) of an optimized crystal structure of Tc3NiOs.

Cell and atoms, written as POSCAR:
```
Tc3NiOs
1.0
-0.8296 4.0336 1.3329
-4.2210 -0.6293 -0.7229
-0.4799 -1.4384 4.0541
Tc Os Ni
3 1 1
Direct
0.0000 0.0000 0.5000 Tc
0.5000 0.0000 0.0000 Tc
0.0000 0.5000 0.0000 Tc
0.5000 0.5000 0.5000 Os
0.0000 0.0000 0.0000 Ni
```

Output
The formation energy comes out at 1634 meV/atom.